Entry 1:
VCdCu2 | PBE | relaxed

Cell lengths 7.009, 7.009, 5.436 Å; angles 90.00, 90.00, 90.00 degrees
Space group I-42d (No. 122)
Symmetry-distinct sites (fractional):
V 0.000 0.000 0.000
Cd 0.000 0.000 0.500
Cu 0.239 0.750 0.125

Values from the calculation:
The total energy comes out at -3.9378 eV/atom.

Entry 2:
VCd2Cu2 | PBE | relaxed

Cell lengths 7.312, 7.312, 3.153 Å; angles 90.00, 90.00, 90.00 degrees
Space group P4/mbm (No. 127)
Symmetry-distinct sites (fractional):
V 0.000 0.000 0.000
Cd 0.175 0.325 0.500
Cu 0.123 0.623 0.000

Values from the calculation:
The total energy comes out at -3.5214 eV/atom.

Entry 3:
CdCuW2 | PBE | relaxed

Cell lengths 2.736, 4.332, 5.570 Å; angles 90.00, 97.87, 90.00 degrees
Space group Pm (No. 6)
Symmetry-distinct sites (fractional):
Cd 0.000 0.000 0.000
Cu 0.093 0.500 0.256
W 0.419 0.500 0.724
W 0.654 0.000 0.488

Values from the calculation:
The total energy comes out at -7.2712 eV/atom.

Entry 4:
Cd2CuW | PBE | relaxed

Cell lengths 2.823, 4.915, 9.871 Å; angles 90.00, 90.00, 90.00 degrees
Space group Immm (No. 71)
Symmetry-distinct sites (fractional):
Cd 0.000 0.000 0.229
Cu 0.000 0.500 0.500
W 0.000 0.500 0.000

Values from the calculation:
The energy relative to the lowest polymorph listed for this composition is 245.0 meV/atom.

Entry 5:
CdCuW2 | PBE | relaxed

Cell lengths 3.296, 4.628, 8.567 Å; angles 90.00, 90.00, 90.00 degrees
Space group Imm2 (No. 44)
Symmetry-distinct sites (fractional):
Cd 0.000 0.000 0.000
Cu 0.000 0.500 0.742
W 0.000 0.000 0.492
W 0.000 0.500 0.221

Values from the calculation:
The total energy comes out at -7.1384 eV/atom.

Entry 6:
Cd2CuW | PBE | relaxed

Cell lengths 10.411, 2.758, 5.073 Å; angles 90.00, 108.38, 90.00 degrees
Space group C2/m (No. 12)
Symmetry-distinct sites (fractional):
Cd 0.233 0.000 0.239
Cu 0.000 0.500 0.000
W 0.000 0.000 0.500

Values from the calculation:
The energy relative to the lowest polymorph listed for this composition is 243.6 meV/atom.

Entry 7:
Cd2CuW | PBE | relaxed

Cell lengths 2.815, 2.815, 8.761 Å; angles 90.00, 90.00, 90.00 degrees
Space group P4mm (No. 99)
Symmetry-distinct sites (fractional):
Cd 0.000 0.000 0.000
Cd 0.500 0.500 0.296
Cu 0.000 0.000 0.529
W 0.500 0.500 0.740

Values from the calculation:
The energy relative to the lowest polymorph listed for this composition is 0.0 meV/atom.

Entry 8:
Cd2CuW | PBE | relaxed

Cell lengths 2.789, 4.203, 5.909 Å; angles 90.00, 90.00, 90.00 degrees
Space group Pmmm (No. 47)
Symmetry-distinct sites (fractional):
Cd 0.000 0.000 0.243
Cu 0.500 0.500 0.000
W 0.500 0.500 0.500

Values from the calculation:
The energy relative to the lowest polymorph listed for this composition is 255.8 meV/atom.

Entry 9:
CdCuW2 | PBE | relaxed

Cell lengths 2.705, 4.438, 5.408 Å; angles 90.00, 97.45, 90.00 degrees
Space group P2/m (No. 10)
Symmetry-distinct sites (fractional):
Cd 0.000 0.000 0.000
Cu 0.000 0.000 0.500
W 0.457 0.500 0.732

Values from the calculation:
The total energy comes out at -7.1996 eV/atom.

Entry 10:
CdCuW2 | PBE | relaxed

Cell lengths 5.359, 8.852, 2.711 Å; angles 90.00, 90.00, 90.00 degrees
Space group Cmmm (No. 65)
Symmetry-distinct sites (fractional):
Cd 0.000 0.000 0.000
Cu 0.000 0.500 0.000
W 0.250 0.250 0.500

Values from the calculation:
The total energy comes out at -7.1565 eV/atom.

Entry 11:
Cd2CuW | PBE | relaxed

Cell lengths 3.024, 4.750, 4.818 Å; angles 90.00, 90.00, 90.00 degrees
Space group Pmmm (No. 47)
Symmetry-distinct sites (fractional):
Cd 0.000 0.000 0.000
Cd 0.500 0.500 0.000
Cu 0.000 0.500 0.500
W 0.500 0.000 0.500

Values from the calculation:
The energy relative to the lowest polymorph listed for this composition is 309.0 meV/atom.

Entry 12:
Cd2CuW | PBE | relaxed

Cell lengths 7.364, 7.364, 5.476 Å; angles 90.00, 90.00, 90.00 degrees
Space group I-42d (No. 122)
Symmetry-distinct sites (fractional):
Cd 0.222 0.250 0.125
Cu 0.000 0.000 0.000
W 0.000 0.000 0.500

Values from the calculation:
The energy relative to the lowest polymorph listed for this composition is 669.2 meV/atom.

Computed values of DOS(E_F) (unit: states/eV per cell) for the preceding records, in sequence: 13.49 7.56 2.01 5.44 3.75 6.00 2.38 3.42 0.89 4.32 2.82 21.08.
Computed values of magnetic moment (unit: μB per cell) for the preceding records, in sequence: 12.00 6.16 0.00 0.53 0.00 0.00 0.00 0.03 0.00 0.00 0.02 0.00.